[1]
The following is a DFT calculation (GGA-PBE) of a relaxed structure of Ce4Br.

The space group is Pm-3m (No. 221) and the conventional cell measures 5.544, 5.544 and 5.544 Å, with angles of 90.00, 90.00 and 90.00 degrees. The asymmetric unit holds Ce at (0.000, 0.000, 0.000), Ce at (0.000, 0.500, 0.500) and Br at (0.500, 0.500, 0.500).

Its formation energy (no corrections) is -28 meV/atom. As for the density of states at the Fermi level: 4.353 states/eV/atom. The calculation puts the density at 6.24 g/cm3.

=====

[2]
The following is a DFT calculation (GGA-PBE) of a relaxed structure of Tm8Tl2Ge.

The space group is C2/m (No. 12) and the conventional cell measures 18.930, 4.997 and 6.649 Å, with angles of 90.00, 103.25 and 90.00 degrees. The asymmetric unit holds Tm at (0.022, 0.000, 0.270), Tm at (0.089, 0.500, 0.955), Tm at (0.150, 0.500, 0.488), Tm at (0.212, 0.000, 0.819), Tl at (0.184, 0.000, 0.258) and Ge at (0.000, 0.500, 0.500).

The value obtained for the formation energy is -0.23 eV per atom. As for the density of states at the Fermi level: 1.081 states/eV/atom. The calculation puts the density at 9.94 g/cm3.